This record from the Alexandria database describes crystalline RbAg2WO4 at its relaxed geometry. The functional is PBE with a Hubbard U.

Calculated values
**Total magnetization**: 0.0 μB/cell
**Total DFT energy (no corrections)**: -5.34 eV per atom
**DOS(E_F)**: 1.51 states/eV/f.u.
**Crystal system**: orthorhombic

abc: 8.931 8.951 7.755
angles: 90.00 90.00 90.00
Space group Fmm2 (No. 42)
Unique sites:
Rb (0.000, 0.000, 0.000) (multiplicity 4)
Ag (0.250, 0.250, 0.249) (multiplicity 8)
W (0.000, 0.000, 0.500) (multiplicity 4)
O (0.000, 0.166, 0.640) (multiplicity 8)
O (0.166, 0.000, 0.361) (multiplicity 8)